! TaI2BrO (meta-GGA SCAN, PBEsol geometry); values from VASP
&SYSTEM
  ibrav = 0, nat = 5, ntyp = 4
/
ATOMIC_SPECIES
Ta 180.95 Ta.upf
I 126.90 I.upf
Br 79.90 Br.upf
O 16.00 O.upf
CELL_PARAMETERS angstrom
5.804 0.000 0.000
0.000 5.804 0.000
0.000 0.000 3.674
ATOMIC_POSITIONS angstrom
Ta 0.000 0.000 0.000
I 0.000 2.902 1.837
I 2.902 0.000 1.837
Br 2.902 2.902 1.837
O 2.902 2.902 0.000
! DOS at the Fermi energy	0.7181	states/eV/atom
! VASP energy	-31.88	eV/atom
! theoretical density	7.122	Mg/m³
! size of the total moment	2.591	μB/cell
! formation energy without anion corrections	1.267	eV per atom
! space group	P4/mmm
! crystal system	tetragonal